No. 1
First-principles (GGA-PBE) data for BeCrTc2 after structural relaxation, as listed in Alexandria via LeMat-Bulk.

The structure in POSCAR format:
```
BeCrTc2
1.0
-1.749 2.274 -7.735
-1.624 -0.396 -8.078
-3.911 0.747 -7.225
Cr Be Tc
1 1 2
direct
0.750 0.750 0.750
0.250 0.250 0.250
0.998 0.998 0.998
0.502 0.502 0.502
```

Values from the calculation:
- ΔE_f (eV/atom) = 0.1521
- calculated volume (Å³/cell) = 51
- ρ (g/cm³) = 8.37
- space group = No. 166
- total moment (μB per formula unit) = 0.00



No. 2
First-principles (GGA-PBE) data for NdMg2CdAu4 after structural relaxation, as listed in Alexandria via LeMat-Bulk.

The structure in POSCAR format:
```
NdMg2CdAu4
1.0
-0.273 -4.674 0.158
3.276 -2.462 2.269
-3.786 -1.846 8.300
Au Nd Mg Cd
4 1 2 1
direct
0.607 0.607 0.178
0.122 0.122 0.635
0.393 0.393 0.822
0.878 0.878 0.365
0.000 0.000 0.000
0.761 0.761 0.718
0.239 0.239 0.282
0.500 0.500 0.500
```

Values from the calculation:
- ΔE_f (eV/atom) = -0.5559
- calculated volume (Å³/cell) = 169
- ρ (g/cm³) = 10.72
- space group = No. 166
- total moment (μB per formula unit) = 0.00



No. 3
First-principles (GGA-PBE) data for Si3PdC after structural relaxation, as listed in Alexandria via LeMat-Bulk.

The structure in POSCAR format:
```
Si3PdC
1.0
-0.910 1.909 3.421
-3.915 -0.567 -0.725
0.139 -3.494 1.987
Si C Pd
3 1 1
direct
0.500 0.000 0.000
0.000 0.500 0.000
0.000 0.000 0.500
0.000 0.000 0.000
0.500 0.500 0.500
```

Values from the calculation:
- calculated volume (Å³/cell) = 65
- ρ (g/cm³) = 5.17
- space group = No. 221
- polymorph energy (0 for the lowest one) (meV/atom) = 0.0
- ΔE_f (raw) (eV/atom) = 0.631
- total moment (μB per formula unit) = 0.00



No. 4
First-principles (GGA-PBE) data for CsTlFeI4 after structural relaxation, as listed in Alexandria via LeMat-Bulk.

The structure in POSCAR format:
```
CsTlFeI4
1.0
-0.094 -3.563 7.013
7.874 2.242 1.244
-3.046 10.037 1.188
I Tl Cs Fe
8 2 2 2
direct
0.986 0.002 0.256
0.602 0.250 0.442
0.014 0.998 0.744
0.598 0.250 0.851
0.398 0.750 0.558
0.014 0.502 0.744
0.986 0.498 0.256
0.402 0.750 0.149
0.223 0.250 0.546
0.777 0.750 0.454
0.276 0.250 0.075
0.724 0.750 0.925
0.201 0.750 0.305
0.799 0.250 0.695
```

Values from the calculation:
- calculated volume (Å³/cell) = 650
- ρ (g/cm³) = 4.60
- space group = No. 11
- ΔE_f (raw) (eV/atom) = -0.689
- total moment (μB per formula unit) = 4.00



No. 5
First-principles (GGA-PBE) data for Sb2MoCl after structural relaxation, as listed in Alexandria via LeMat-Bulk.

The structure in POSCAR format:
```
Sb2MoCl
1.0
5.315 -0.009 0.042
4.351 3.052 0.042
3.220 1.014 6.877
Sb Mo Cl
2 1 1
direct
0.949 0.949 0.119
0.739 0.739 0.829
0.222 0.222 0.143
0.591 0.591 0.410
```

Values from the calculation:
- calculated volume (Å³/cell) = 111
- ρ (g/cm³) = 5.59
- space group = No. 8
- polymorph energy (0 for the lowest one) (meV/atom) = 6.3
- ΔE_f (raw) (eV/atom) = -0.006
- total moment (μB per formula unit) = 0.00



No. 6
First-principles (GGA-PBE) data for Tm2IrBr after structural relaxation, as listed in Alexandria via LeMat-Bulk.

The structure in POSCAR format:
```
Tm2IrBr
1.0
4.016 0.000 0.000
2.008 3.478 0.000
2.008 1.159 7.497
Tm Br Ir
2 1 1
direct
0.270 0.270 0.189
0.730 0.730 0.811
0.500 0.500 0.500
0.000 0.000 0.000
```

Values from the calculation:
- calculated volume (Å³/cell) = 105
- ρ (g/cm³) = 9.67
- space group = No. 166
- polymorph energy (0 for the lowest one) (meV/atom) = 0.0
- ΔE_f (raw) (eV/atom) = -1.105
- total moment (μB per formula unit) = 0.00



No. 7
First-principles (GGA-PBE) data for HoTc2B6 after structural relaxation, as listed in Alexandria via LeMat-Bulk.

The structure in POSCAR format:
```
HoTc2B6
1.0
-2.540 0.158 -1.812
-1.126 -5.329 -1.581
-4.326 -1.764 3.216
B Tc Ho
6 2 1
direct
0.810 0.945 0.435
0.190 0.565 0.055
0.190 0.055 0.565
0.000 0.845 0.155
0.000 0.155 0.845
0.810 0.435 0.945
0.661 0.839 0.839
0.339 0.161 0.161
0.500 0.500 0.500
```

Values from the calculation:
- ΔE_f (eV/atom) = -0.4673
- calculated volume (Å³/cell) = 90
- ρ (g/cm³) = 7.82
- space group = No. 71
- polymorph energy (0 for the lowest one) (meV/atom) = 0.0
- total moment (μB per formula unit) = 0.00



No. 8
First-principles (GGA-PBE) data for NbCrIn2 after structural relaxation, as listed in Alexandria via LeMat-Bulk.

The structure in POSCAR format:
```
NbCrIn2
1.0
-1.576 -4.410 -6.004
6.330 -4.027 1.296
0.899 -5.997 -0.659
Cr In Nb
2 4 2
direct
0.500 0.500 0.000
0.250 0.750 0.500
0.608 0.125 0.250
0.875 0.858 0.750
0.142 0.625 0.250
0.375 0.392 0.750
0.000 0.000 0.000
0.750 0.250 0.500
```

Values from the calculation:
- ΔE_f (eV/atom) = 0.6165
- calculated volume (Å³/cell) = 166
- ρ (g/cm³) = 7.48
- space group = No. 122
- polymorph energy (0 for the lowest one) (meV/atom) = 70.9
- total moment (μB per formula unit) = 2.67



No. 9
First-principles (GGA-PBE) data for Ca2InAsPd6 after structural relaxation, as listed in Alexandria via LeMat-Bulk.

The structure in POSCAR format:
```
Ca2InAsPd6
1.0
-6.131 -1.801 -2.522
2.577 0.143 -6.366
-0.560 -5.515 -4.056
As In Pd Ca
1 1 6 2
direct
0.000 0.000 0.000
0.500 0.500 0.000
0.761 0.761 0.000
0.239 0.761 0.000
0.761 0.239 0.000
0.239 0.239 0.000
0.761 0.761 0.478
0.239 0.239 0.522
0.750 0.250 0.500
0.250 0.750 0.500
```

Values from the calculation:
- ΔE_f (eV/atom) = -0.2725
- calculated volume (Å³/cell) = 229
- ρ (g/cm³) = 6.58
- space group = No. 225
- total moment (μB per formula unit) = 0.00



No. 10
First-principles (GGA-PBE) data for ZrP2RhO after structural relaxation, as listed in Alexandria via LeMat-Bulk.

The structure in POSCAR format:
```
ZrP2RhO
1.0
5.110 0.000 0.000
0.000 5.110 0.000
0.000 0.000 3.899
O P Zr Rh
1 2 1 1
direct
0.000 0.000 0.500
0.500 0.000 0.000
0.000 0.500 0.000
0.000 0.000 0.000
0.500 0.500 0.500
```

Values from the calculation:
- calculated volume (Å³/cell) = 102
- ρ (g/cm³) = 4.44
- space group = No. 123
- polymorph energy (0 for the lowest one) (meV/atom) = 185.9
- ΔE_f (raw) (eV/atom) = 0.007
- total moment (μB per formula unit) = 0.00



No. 11
First-principles (GGA-PBE) data for Ba2Ag after structural relaxation, as listed in Alexandria via LeMat-Bulk.

The structure in POSCAR format:
```
Ba2Ag
1.0
4.860 0.000 0.000
-2.430 4.209 0.000
0.000 0.000 7.723
Ba Ag
2 1
direct
0.667 0.333 0.760
0.333 0.667 0.240
0.000 0.000 0.000
```

Values from the calculation:
- ΔE_f (eV/atom) = -0.1209
- calculated volume (Å³/cell) = 158
- ρ (g/cm³) = 4.02
- space group = No. 164
- polymorph energy (0 for the lowest one) (meV/atom) = 57.0
- total moment (μB per formula unit) = 0.00



No. 12
First-principles (GGA-PBE) data for MgBe2CrHg after structural relaxation, as listed in Alexandria via LeMat-Bulk.

The structure in POSCAR format:
```
MgBe2CrHg
1.0
4.357 0.000 0.000
0.000 5.008 0.000
0.000 0.000 4.357
Mg Cr Be Hg
1 1 2 1
direct
0.500 0.500 0.500
0.000 0.500 0.000
0.000 0.000 0.500
0.500 0.000 0.000
0.000 0.000 0.000
```

Values from the calculation:
- ΔE_f (eV/atom) = 1.2515
- calculated volume (Å³/cell) = 95
- ρ (g/cm³) = 5.15
- space group = No. 123
- total moment (μB per formula unit) = 0.00



No. 13
First-principles (GGA-PBE) data for CdSeBr2N after structural relaxation, as listed in Alexandria via LeMat-Bulk.

The structure in POSCAR format:
```
CdSeBr2N
1.0
-4.494 0.649 -0.616
-0.895 -3.180 3.176
0.024 3.453 3.464
N Br Cd Se
1 2 1 1
direct
0.000 0.000 0.000
0.000 0.500 0.000
0.500 0.000 0.000
0.500 0.500 0.500
0.000 0.000 0.500
```

Values from the calculation:
- calculated volume (Å³/cell) = 103
- ρ (g/cm³) = 5.90
- space group = No. 123
- polymorph energy (0 for the lowest one) (meV/atom) = 0.0
- ΔE_f (raw) (eV/atom) = 0.761
- total moment (μB per formula unit) = 0.00



No. 14
First-principles (GGA-PBE) data for Pa2AsSe2O after structural relaxation, as listed in Alexandria via LeMat-Bulk.

The structure in POSCAR format:
```
Pa2AsSe2O
1.0
-4.877 2.306 1.313
-3.321 -4.678 -4.120
3.516 -3.060 6.696
O Se As Pa
2 4 2 4
direct
0.250 0.500 0.000
0.750 0.500 0.000
0.311 0.124 0.622
0.811 0.497 0.622
0.189 0.503 0.378
0.689 0.876 0.378
0.250 0.000 0.000
0.750 0.000 0.000
0.396 0.581 0.791
0.896 0.211 0.791
0.604 0.419 0.209
0.104 0.789 0.209
```

Values from the calculation:
- calculated volume (Å³/cell) = 267
- ρ (g/cm³) = 8.84
- space group = No. 72
- ΔE_f (raw) (eV/atom) = -1.734
- total moment (μB per formula unit) = 1.64



No. 15
First-principles (GGA-PBE) data for RbNdAs2Pt4 after structural relaxation, as listed in Alexandria via LeMat-Bulk.

The structure in POSCAR format:
```
RbNdAs2Pt4
1.0
4.082 0.000 0.000
0.000 4.082 0.000
0.000 0.000 11.514
Rb As Pt Nd
1 2 4 1
direct
0.000 0.000 0.500
0.500 0.500 0.315
0.500 0.500 0.685
0.000 0.500 0.194
0.500 0.000 0.806
0.500 0.000 0.194
0.000 0.500 0.806
0.000 0.000 0.000
```

Values from the calculation:
- ΔE_f (eV/atom) = -0.6130
- calculated volume (Å³/cell) = 192
- ρ (g/cm³) = 10.04
- space group = No. 123
- total moment (μB per formula unit) = 0.00



No. 16
First-principles (GGA-PBE) data for YCdTc after structural relaxation, as listed in Alexandria via LeMat-Bulk.

The structure in POSCAR format:
```
YCdTc
1.0
-0.353 -4.902 0.128
3.739 2.135 -2.374
1.626 -0.052 2.514
Cd Tc Y
1 1 1
direct
0.000 0.000 0.099
0.667 0.333 0.244
0.333 0.667 0.657
```

Values from the calculation:
- ΔE_f (eV/atom) = 0.2666
- calculated volume (Å³/cell) = 63
- ρ (g/cm³) = 7.93
- space group = No. 156
- polymorph energy (0 for the lowest one) (meV/atom) = 103.0
- total moment (μB per formula unit) = 0.00



No. 17
First-principles (GGA-PBE) data for NbBi2RuF after structural relaxation, as listed in Alexandria via LeMat-Bulk.

The structure in POSCAR format:
```
NbBi2RuF
1.0
5.552 0.000 0.000
0.000 3.982 0.000
0.000 0.000 5.552
F Bi Nb Ru
1 2 1 1
direct
0.000 0.500 0.000
0.000 0.000 0.500
0.500 0.000 0.000
0.000 0.000 0.000
0.500 0.500 0.500
```

Values from the calculation:
- calculated volume (Å³/cell) = 123
- ρ (g/cm³) = 8.53
- space group = No. 123
- ΔE_f (raw) (eV/atom) = 0.236
- total moment (μB per formula unit) = 2.94



No. 18
First-principles (GGA-PBE) data for NaCe2Si3Pt4 after structural relaxation, as listed in Alexandria via LeMat-Bulk.

The structure in POSCAR format:
```
NaCe2Si3Pt4
1.0
-1.136 4.091 -0.345
-4.049 -1.175 -0.610
-1.642 0.398 10.132
Ce Si Pt Na
2 3 4 1
direct
0.000 0.500 0.753
0.500 0.000 0.247
0.500 0.000 0.876
0.000 0.000 0.500
0.000 0.500 0.124
0.000 0.500 0.354
0.500 0.000 0.646
0.000 0.000 0.000
0.500 0.500 0.000
0.500 0.500 0.500
```

Values from the calculation:
- calculated volume (Å³/cell) = 186
- ρ (g/cm³) = 10.40
- space group = No. 115
- ΔE_f (raw) (eV/atom) = -0.882
- total moment (μB per formula unit) = 1.36



No. 19
First-principles (GGA-PBE) data for Na2Zr2AlSe6 after structural relaxation, as listed in Alexandria via LeMat-Bulk.

The structure in POSCAR format:
```
Na2Zr2AlSe6
1.0
6.683 -0.031 0.050
-3.330 5.794 0.050
-1.207 -2.074 7.071
Na Se Al Zr
2 6 1 2
direct
0.831 0.169 0.000
0.169 0.831 0.000
0.076 0.395 0.715
0.755 0.755 0.708
0.395 0.076 0.715
0.245 0.245 0.292
0.924 0.605 0.285
0.605 0.924 0.285
0.000 0.000 0.500
0.669 0.331 0.500
0.331 0.669 0.500
```

Values from the calculation:
- calculated volume (Å³/cell) = 274
- ρ (g/cm³) = 4.41
- space group = No. 12
- ΔE_f (raw) (eV/atom) = -1.199
- total moment (μB per formula unit) = 0.00



No. 20
First-principles (GGA-PBE) data for AgP2 after structural relaxation, as listed in Alexandria via LeMat-Bulk.

The structure in POSCAR format:
```
AgP2
1.0
-1.231 2.663 1.607
-0.776 -3.085 1.036
4.163 0.015 3.163
P Ag
2 1
direct
0.333 0.667 0.378
0.667 0.333 0.622
0.000 0.000 0.000
```

Values from the calculation:
- ΔE_f (eV/atom) = 0.1722
- calculated volume (Å³/cell) = 51
- ρ (g/cm³) = 5.57
- space group = No. 164
- polymorph energy (0 for the lowest one) (meV/atom) = 173.0
- total moment (μB per formula unit) = 0.00



No. 21
First-principles (GGA-PBE) data for Mg2ScZn after structural relaxation, as listed in Alexandria via LeMat-Bulk.

The structure in POSCAR format:
```
Mg2ScZn
1.0
3.198 0.000 0.000
0.000 3.198 0.000
0.000 0.000 8.087
Zn Sc Mg
1 1 2
direct
0.500 0.500 0.753
0.000 0.000 0.533
0.500 0.500 0.245
0.000 0.000 0.969
```

Values from the calculation:
- ΔE_f (eV/atom) = -0.1417
- calculated volume (Å³/cell) = 83
- ρ (g/cm³) = 3.19
- space group = No. 99
- total moment (μB per formula unit) = 0.33



No. 22
First-principles (GGA-PBE) data for Li3Np3AgSe8 after structural relaxation, as listed in Alexandria via LeMat-Bulk.

The structure in POSCAR format:
```
Li3Np3AgSe8
1.0
-3.308 5.051 -5.303
5.469 -5.363 -2.431
-7.262 -2.402 2.242
Se Np Li Ag
8 3 3 1
direct
0.259 0.004 0.250
0.247 0.493 0.240
0.746 0.004 0.250
0.254 0.508 0.750
0.741 0.996 0.750
0.254 0.996 0.750
0.746 0.492 0.250
0.753 0.507 0.760
0.500 0.500 0.500
0.000 0.500 0.500
0.500 0.000 0.500
0.500 0.500 0.000
0.000 0.500 0.000
0.000 0.000 0.000
0.000 0.000 0.500
```

Values from the calculation:
- calculated volume (Å³/cell) = 362
- ρ (g/cm³) = 6.74
- space group = No. 166
- ΔE_f (raw) (eV/atom) = -0.993
- total moment (μB per formula unit) = 9.01



No. 23
First-principles (GGA-PBE) data for BaLaTlGa after structural relaxation, as listed in Alexandria via LeMat-Bulk.

The structure in POSCAR format:
```
BaLaTlGa
1.0
5.715 0.000 0.000
2.857 4.949 0.000
2.857 1.650 4.666
Ba La Ga Tl
1 1 1 1
direct
0.500 0.500 0.500
0.000 0.000 0.000
0.250 0.250 0.250
0.750 0.750 0.750
```

Values from the calculation:
- ΔE_f (eV/atom) = -0.3139
- calculated volume (Å³/cell) = 132
- ρ (g/cm³) = 6.92
- space group = No. 216
- total moment (μB per formula unit) = 0.00



No. 24
First-principles (GGA-PBE) data for LuGaIrPd after structural relaxation, as listed in Alexandria via LeMat-Bulk.

The structure in POSCAR format:
```
LuGaIrPd
1.0
4.580 0.000 0.000
2.290 3.967 0.000
2.290 1.322 3.740
Ga Pd Lu Ir
1 1 1 1
direct
0.250 0.250 0.250
0.500 0.500 0.500
0.750 0.750 0.750
0.000 0.000 0.000
```

Values from the calculation:
- ΔE_f (eV/atom) = -0.7666
- calculated volume (Å³/cell) = 68
- ρ (g/cm³) = 13.28
- space group = No. 216
- total moment (μB per formula unit) = 0.00



No. 25
First-principles (GGA-PBE) data for PaTe3 after structural relaxation, as listed in Alexandria via LeMat-Bulk.

The structure in POSCAR format:
```
PaTe3
1.0
-2.360 -2.106 -2.658
-2.270 -3.948 5.144
-1.134 5.966 -0.509
Te Pa
3 1
direct
0.687 0.035 0.374
0.313 0.661 0.626
0.500 0.391 0.000
0.000 0.080 0.000
```

Values from the calculation:
- calculated volume (Å³/cell) = 130
- ρ (g/cm³) = 7.82
- space group = No. 44
- ΔE_f (raw) (eV/atom) = -0.575
- total moment (μB per formula unit) = 0.00



No. 26
First-principles (GGA-PBE) data for Sr4Cd3PbO8 after structural relaxation, as listed in Alexandria via LeMat-Bulk.

The structure in POSCAR format:
```
Sr4Cd3PbO8
1.0
7.223 0.000 0.000
0.000 7.062 -0.114
-3.611 -3.611 5.110
Cd Pb O Sr
3 1 8 4
direct
0.500 0.500 0.000
0.000 0.500 0.500
0.500 0.500 0.500
0.000 0.500 0.000
0.253 0.745 0.505
0.260 0.254 0.007
0.747 0.255 0.495
0.740 0.746 0.993
0.253 0.746 0.993
0.747 0.254 0.007
0.253 0.260 0.507
0.747 0.740 0.493
0.000 0.000 0.000
0.500 0.000 0.500
0.500 0.000 0.000
0.000 0.000 0.500
```

Values from the calculation:
- calculated volume (Å³/cell) = 258
- ρ (g/cm³) = 6.59
- space group = No. 166
- ΔE_f (raw) (eV/atom) = -1.854
- total moment (μB per formula unit) = 0.00